Record 1
Compound: AcNbNO
Source: the Open Quantum Materials Database
Functional: PBE
Structure: relaxed

## Properties
Offset from the most stable computed form: 0.152 eV/atom
Space group: Pmc2_1, No. 26

abc: 4.1723 5.7754 5.5688
angles: 90.00 90.00 90.00
Closest atoms and distances in Å follow each position.
Fractional coordinates of all 8 atoms:
N 0.0000 0.2513 0.5002  2 Nb 2.01
N 0.0000 0.7513 0.4998  2 Nb 2.01
O 0.5000 0.5017 0.2177  2 Nb 2.09
Ac 0.5000 0.0000 0.2646  4 O 2.69-2.91, 4 N 2.85-2.86
Ac 0.5000 0.4999 0.7354  4 O 2.69-2.91, 4 N 2.85-2.86
Nb 0.0000 0.0011 0.7504  2 N 2.01, 2 O 2.09
O 0.5000 0.0017 0.7823  2 Nb 2.09
Nb 0.0000 0.5011 0.2496  2 N 2.01, 2 O 2.09



Record 2
Compound: AcNbNO
Source: the Open Quantum Materials Database
Functional: PBE
Structure: relaxed

## Properties
Offset from the most stable computed form: 0.788 eV/atom
Space group: P4/nmm, No. 129

abc: 4.6497 4.6497 6.0787
angles: 90.00 90.00 90.00
Closest atoms and distances in Å follow each position.
Fractional coordinates of all 8 atoms:
Ac 0.5000 0.5000 0.5000  4 N 2.54
O 0.5000 0.5000 0.0000  4 Nb 2.33
O 0.0000 0.0000 0.0000  4 Nb 2.33
Nb 0.5000 0.0000 0.0169  1 N 1.90
N 0.0000 0.5000 0.6700  1 Nb 1.90
N 0.5000 0.0000 0.3300  1 Nb 1.90
Ac 0.0000 0.0000 0.5000  4 N 2.54
Nb 0.0000 0.5000 0.9831  1 N 1.90